The following is a DFT calculation (PBE-GGA) of crystalline CdAgS2Cl at its relaxed geometry.

The structure in CIF format:
```
data_CdAgS2Cl
_space_group_name_H-M_alt 'P 4/m m m'
_space_group_IT_number 123
_space_group_name_Hall '-P 4 2'
_cell_length_a 4.9821
_cell_length_b 4.9821
_cell_length_c 5.3476
_cell_angle_alpha 90.00
_cell_angle_beta 90.00
_cell_angle_gamma 90.00
loop_
_atom_site_label
_atom_site_type_symbol
_atom_site_fract_x
_atom_site_fract_y
_atom_site_fract_z
Cd1 Cd 0.0000 0.0000 0.0000
Ag1 Ag 0.5000 0.5000 0.5000
S1 S 0.0000 0.5000 0.0000
Cl1 Cl 0.0000 0.0000 0.5000
```

* DFT total energy: -2.388 eV/atom
* polymorph energy (0 for the lowest one): 55 meV per atom
* crystal system: tetragonal
* N(E_F): 6.1 states/eV per cell
* ΔE_f (raw): 0.386 eV per atom